# 1
16
Lattice="6.487 0.000 0.000 0.000 6.487 0.000 0.000 0.000 6.487" Properties=species:S:1:pos:R:3 comment="TiAg2W | Alexandria via LeMat-Bulk | PBE | relaxed" density_g_cm3=10.89 de_polymorph_ev_per_atom=0.0000 pbc="T T T"
Ti 0.000 0.000 0.000
Ti 0.000 3.243 3.243
Ti 3.243 0.000 3.243
Ti 3.243 3.243 0.000
Ag 1.622 1.622 1.622
Ag 1.622 1.622 4.865
Ag 1.622 4.865 1.622
Ag 1.622 4.865 4.865
Ag 4.865 1.622 1.622
Ag 4.865 1.622 4.865
Ag 4.865 4.865 1.622
Ag 4.865 4.865 4.865
W 0.000 0.000 3.243
W 0.000 3.243 0.000
W 3.243 0.000 0.000
W 3.243 3.243 3.243

=====

# 2
10
Lattice="8.108 0.000 0.000 0.000 8.108 0.000 0.000 0.000 2.741" Properties=species:S:1:pos:R:3 comment="TiAg2W2 | Alexandria via LeMat-Bulk | PBE | relaxed" density_g_cm3=11.64 de_polymorph_ev_per_atom=0.0174 pbc="T T T"
Ti 0.000 0.000 0.000
Ti 4.054 4.054 0.000
Ag 1.497 2.557 1.370
Ag 2.557 6.611 1.370
Ag 5.551 1.497 1.370
Ag 6.611 5.551 1.370
W 0.889 4.943 0.000
W 3.165 0.889 0.000
W 4.943 7.219 0.000
W 7.219 3.165 0.000

=====

# 3
5
Lattice="4.971 0.000 0.000 0.000 4.971 0.000 0.000 0.000 4.971" Properties=species:S:1:pos:R:3 comment="YTiAg3 | Alexandria via LeMat-Bulk | PBE | relaxed" density_g_cm3=6.22 de_polymorph_ev_per_atom=0.0000 pbc="T T T"
Y 0.000 0.000 0.000
Ti 2.485 2.485 2.485
Ag 0.000 2.485 2.485
Ag 2.485 0.000 2.485
Ag 2.485 2.485 0.000

=====

# 4
4
Lattice="3.471 0.000 0.000 0.000 3.471 0.000 0.000 0.000 6.916" Properties=species:S:1:pos:R:3 comment="YTiAg2 | Alexandria via LeMat-Bulk | PBE | relaxed" density_g_cm3=7.03 de_polymorph_ev_per_atom=0.0000 pbc="T T T"
Y 0.000 0.000 0.000
Ti 0.000 0.000 3.458
Ag 1.735 1.735 1.950
Ag 1.735 1.735 4.965

=====

# 5
10
Lattice="3.810 0.000 0.000 0.000 3.810 0.000 0.000 0.000 14.318" Properties=species:S:1:pos:R:3 comment="YTi2Ag2 | Alexandria via LeMat-Bulk | PBE | relaxed" density_g_cm3=6.40 de_polymorph_ev_per_atom=0.0000 pbc="T T T"
Y 0.000 0.000 0.000
Y 1.905 1.905 7.159
Ti 0.000 1.905 3.580
Ti 0.000 1.905 10.739
Ti 1.905 0.000 3.580
Ti 1.905 0.000 10.739
Ag 0.000 0.000 5.723
Ag 0.000 0.000 8.595
Ag 1.905 1.905 1.436
Ag 1.905 1.905 12.882

=====

# 6
5
Lattice="4.845 0.000 0.000 0.000 4.845 0.000 0.000 0.000 4.845" Properties=species:S:1:pos:R:3 comment="YTi3Ag | Alexandria via LeMat-Bulk | PBE | relaxed" density_g_cm3=4.97 de_polymorph_ev_per_atom=0.6983 pbc="T T T"
Y 0.000 0.000 0.000
Ti 0.000 0.000 2.423
Ti 0.000 2.423 0.000
Ti 2.423 0.000 0.000
Ag 2.423 2.423 2.423

=====

# 7
10
Lattice="8.132 0.000 0.000 0.000 8.132 0.000 0.000 0.000 3.053" Properties=species:S:1:pos:R:3 comment="YTi2Ag2 | Alexandria via LeMat-Bulk | PBE | relaxed" density_g_cm3=6.59 de_polymorph_ev_per_atom=0.0245 pbc="T T T"
Y 0.000 0.000 0.000
Y 4.066 4.066 0.000
Ti 0.930 3.135 0.000
Ti 3.135 7.201 0.000
Ti 4.996 0.930 0.000
Ti 7.201 4.996 0.000
Ag 1.462 5.528 1.526
Ag 2.604 1.462 1.526
Ag 5.528 6.670 1.526
Ag 6.670 2.604 1.526

=====

# 8
5
Lattice="4.957 0.000 0.000 0.000 4.957 0.000 0.000 0.000 4.957" Properties=species:S:1:pos:R:3 comment="YTi3Ag | Alexandria via LeMat-Bulk | PBE | relaxed" density_g_cm3=4.64 de_polymorph_ev_per_atom=0.0000 pbc="T T T"
Y 0.000 0.000 0.000
Ti 0.000 2.479 2.479
Ti 2.479 0.000 2.479
Ti 2.479 2.479 0.000
Ag 2.479 2.479 2.479

=====

# 9
10
Lattice="6.995 0.000 0.000 0.000 6.995 0.000 0.000 0.000 4.829" Properties=species:S:1:pos:R:3 comment="Y2Ti2Ag | Alexandria via LeMat-Bulk | PBE | relaxed" dft_energy_ev_per_cell=-61.3 density_g_cm3=5.36 pbc="T T T"
Y 1.170 2.327 0.000
Y 2.327 5.824 0.000
Y 4.668 1.170 0.000
Y 5.824 4.668 0.000
Ti 0.916 4.413 2.414
Ti 2.582 0.916 2.414
Ti 4.413 6.079 2.414
Ti 6.079 2.582 2.414
Ag 0.000 0.000 2.414
Ag 3.497 3.497 2.414

=====

# 10
16
Lattice="8.125 0.000 0.000 0.000 8.125 0.000 0.000 0.000 6.288" Properties=species:S:1:pos:R:3 comment="Y2TiAg | Alexandria via LeMat-Bulk | PBE | relaxed" density_g_cm3=5.34 de_polymorph_ev_per_atom=0.3959 pbc="T T T"
Y 1.814 6.094 0.786
Y 2.031 1.814 5.502
Y 2.031 2.248 2.358
Y 2.248 6.094 3.930
Y 5.877 2.031 3.930
Y 6.094 5.877 2.358
Y 6.094 6.310 5.502
Y 6.310 2.031 0.786
Ti 0.000 0.000 3.144
Ti 0.000 4.062 4.716
Ti 4.062 0.000 1.572
Ti 4.062 4.062 0.000
Ag 0.000 0.000 0.000
Ag 0.000 4.062 1.572
Ag 4.062 0.000 4.716
Ag 4.062 4.062 3.144

=====

# 11
16
Lattice="4.029 0.000 0.000 0.000 4.029 0.000 0.000 0.000 21.082" Properties=species:S:1:pos:R:3 comment="YTi2Ag | Alexandria via LeMat-Bulk | PBE | relaxed" density_g_cm3=5.68 de_polymorph_ev_per_atom=0.0508 pbc="T T T"
Y 0.000 0.000 0.000
Y 0.000 2.015 5.271
Y 2.015 0.000 15.812
Y 2.015 2.015 10.541
Ti 0.949 1.007 13.177
Ti 1.007 2.964 18.447
Ti 1.007 3.080 7.906
Ti 1.066 1.007 2.635
Ti 2.964 3.022 2.635
Ti 3.022 0.949 7.906
Ti 3.022 1.066 18.447
Ti 3.080 3.022 13.177
Ag 0.000 0.000 10.541
Ag 0.000 2.015 15.812
Ag 2.015 0.000 5.271
Ag 2.015 2.015 0.000

=====

# 12
16
Lattice="7.829 0.000 0.000 0.000 7.829 0.000 0.000 0.000 5.715" Properties=species:S:1:pos:R:3 comment="YTiAg2 | Alexandria via LeMat-Bulk | PBE | relaxed" density_g_cm3=6.68 de_polymorph_ev_per_atom=0.3371 pbc="T T T"
Y 0.000 0.000 0.000
Y 0.000 3.915 1.429
Y 3.915 0.000 4.286
Y 3.915 3.915 2.857
Ti 0.000 0.000 2.857
Ti 0.000 3.915 4.286
Ti 3.915 0.000 1.429
Ti 3.915 3.915 0.000
Ag 1.691 1.957 3.572
Ag 1.957 5.605 5.000
Ag 1.957 6.138 2.143
Ag 2.224 1.957 0.714
Ag 5.605 5.872 0.714
Ag 5.872 1.691 2.143
Ag 5.872 2.224 5.000
Ag 6.138 5.872 3.572